Below is a relaxed structure of LiNi2F, with properties calculated at the GGA+U level.

a b c (Å): 5.728 5.728 5.728
angles (deg): 90.00 90.00 90.00
Space group Fm-3m (No. 225)
Asymmetric unit:
1 Li 0.000 0.000 0.000 [4 per cell]
2 Ni 0.250 0.250 0.250 [8 per cell]
3 F 0.000 0.000 0.500 [4 per cell]

Values from the calculation:
- DOS(E_F) (states/eV per atom) = 0.5036
- E_tot (eV per cell) = -28.8
- total magnetization (μB per formula unit) = 1.8